Entry 1:
PBE LaZr2Si, relaxed; energy relative to the elements, uncorrected = -16.28 kJ per mole of atoms; Fermi-level density of states = 0.970 states/eV per atom; total energy = -28.121 eV/cell; symmetry = No. 123
1.0
-2.5381 -1.3082 -3.5619
0.6830 -4.3734 1.1195
-3.4981 0.0838 2.4618
La Si Zr
1 1 2
Direct
0.5000 0.0000 0.5000
0.0000 0.5000 0.5000
0.0000 0.0000 0.0000
0.5000 0.5000 0.0000

Entry 2:
PBE La2ZrSi, relaxed; energy relative to the elements, uncorrected = -10.70 kJ per mole of atoms; Fermi-level density of states = 0.735 states/eV per atom; total energy = -24.270 eV/cell; symmetry = No. 71
1.0
-0.5114 -6.7171 1.5776
0.6439 -6.6095 -1.9418
4.0178 -1.4999 1.2730
La Si Zr
2 1 1
Direct
0.0516 0.0516 0.9486
0.4484 0.4484 0.5514
0.7500 0.7500 0.7500
0.2500 0.2500 0.2500

Entry 3:
PBE La2ZrSi2, relaxed; energy relative to the elements, uncorrected = 24.40 kJ per mole of atoms; Fermi-level density of states = 0.703 states/eV per atom; energy relative to the lowest polymorph listed for this composition = 842.9 meV/atom; total energy = -27.984 eV/cell; symmetry = No. 139
1.0
-3.6702 -3.7222 -1.7345
3.7799 -3.9712 0.5239
-1.3028 -4.5584 3.7949
Si Zr La
2 1 2
Direct
0.7500 0.2500 0.5000
0.2500 0.7500 0.5000
0.0000 0.0000 0.0000
0.3368 0.3368 0.3263
0.6632 0.6632 0.6737

Entry 4:
PBE LaZr2Si, relaxed; energy relative to the elements, uncorrected = -15.31 kJ per mole of atoms; Fermi-level density of states = 0.968 states/eV per atom; total energy = -28.082 eV/cell; symmetry = No. 8
1.0
-3.4156 -2.7975 3.0072
-3.1329 -4.2830 -0.6131
2.4310 -3.8901 1.7860
La Si Zr
1 1 2
Direct
0.5158 0.5158 0.5236
0.2618 0.2618 0.1633
0.9746 0.9746 0.0708
0.7478 0.7478 0.7423

Entry 5:
PBE LaZrSi2, relaxed; energy relative to the elements, uncorrected = -24.50 kJ per mole of atoms; Fermi-level density of states = 0.627 states/eV per atom; energy relative to the lowest polymorph listed for this composition = 339.1 meV/atom; total energy = -25.337 eV/cell; symmetry = No. 8
1.0
5.7232 0.0182 -0.0114
4.9305 2.9062 -0.0114
1.3478 0.3700 5.0543
La Si Zr
1 2 1
Direct
0.2725 0.2725 0.1823
0.0278 0.0278 0.0374
0.7246 0.7246 0.7057
0.4751 0.4751 0.5746

Entry 6:
PBE LaZr2Si, relaxed; energy relative to the elements, uncorrected = 1.49 kJ per mole of atoms; Fermi-level density of states = 1.423 states/eV per atom; total energy = -27.385 eV/cell; symmetry = No. 216
1.0
-0.5917 -4.9315 0.9981
3.1313 -2.3233 3.2347
-1.6905 -1.4805 4.5405
La Si Zr
1 1 2
Direct
0.5000 0.5000 0.5000
0.2500 0.2500 0.2500
0.0000 0.0000 0.0000
0.7500 0.7500 0.7500

Entry 7:
PBE LaZrSi2, relaxed; energy relative to the elements, uncorrected = -38.43 kJ per mole of atoms; Fermi-level density of states = 0.750 states/eV per atom; energy relative to the lowest polymorph listed for this composition = 194.7 meV/atom; total energy = -25.915 eV/cell; symmetry = No. 99
1.0
-3.3401 3.4398 -2.1970
-0.7122 -2.1190 -2.2349
-3.9001 -1.8643 3.0105
La Si Zr
1 2 1
Direct
0.5000 0.7338 0.8750
0.0000 0.1663 0.8750
0.5000 0.1690 0.3750
0.0000 0.4308 0.3750

Entry 8:
PBE LaZrSi2, relaxed; energy relative to the elements, uncorrected = -42.51 kJ per mole of atoms; Fermi-level density of states = 0.578 states/eV per atom; energy relative to the lowest polymorph listed for this composition = 152.3 meV/atom; total energy = -26.084 eV/cell; symmetry = No. 65
1.0
3.2152 0.1216 0.0000
-0.2441 3.2082 0.0000
0.0000 0.0000 8.0598
La Si Zr
1 2 1
Direct
0.5000 0.5000 0.7500
0.0000 0.0000 0.0237
0.0000 0.0000 0.4763
0.5000 0.5000 0.2500